--- w ---
CaCeBi2 | PBE | optimized geometry

abc: 5.9132 5.9132 3.5454
angles: 90.00 90.00 90.00
Element x y z (fractional)
Ca (0.0000, 0.0000, 0.0000)
Ce (0.5000, 0.5000, 0.0000)
Bi (0.0000, 0.5000, 0.5000)
Bi (0.5000, 0.0000, 0.5000)

Properties
SG: P4/mmm (123)

---

--- x ---
CaCeBi2 | PBE | optimized geometry

abc: 4.4915 4.4915 23.8798
angles: 90.00 90.00 120.00
Element x y z (fractional)
Ca (0.0000, 0.0000, 0.0000)
Ca (0.3333, 0.6667, 0.6667)
Ca (0.6667, 0.3333, 0.3333)
Ce (0.0000, 0.0000, 0.8296)
Ce (0.3333, 0.6667, 0.4962)
Ce (0.6667, 0.3333, 0.1629)
Bi (0.0000, 0.0000, 0.4156)
Bi (0.0000, 0.0000, 0.5795)
Bi (0.3333, 0.6667, 0.0823)
Bi (0.3333, 0.6667, 0.2461)
Bi (0.6667, 0.3333, 0.7489)
Bi (0.6667, 0.3333, 0.9128)

Properties
SG: R3m (160)

---

--- y ---
CaCeBi2 | PBE | optimized geometry

abc: 7.9388 7.9388 7.9388
angles: 90.00 90.00 90.00
Element x y z (fractional)
Ca (0.0000, 0.0000, 0.0000)
Ca (0.0000, 0.5000, 0.5000)
Ca (0.5000, 0.0000, 0.5000)
Ca (0.5000, 0.5000, 0.0000)
Ce (0.0000, 0.0000, 0.5000)
Ce (0.0000, 0.5000, 0.0000)
Ce (0.5000, 0.0000, 0.0000)
Ce (0.5000, 0.5000, 0.5000)
Bi (0.2500, 0.2500, 0.2500)
Bi (0.2500, 0.2500, 0.7500)
Bi (0.2500, 0.7500, 0.2500)
Bi (0.2500, 0.7500, 0.7500)
Bi (0.7500, 0.2500, 0.2500)
Bi (0.7500, 0.2500, 0.7500)
Bi (0.7500, 0.7500, 0.2500)
Bi (0.7500, 0.7500, 0.7500)

Properties
SG: Fm-3m (225)

---

--- z ---
CaCeBi2 | PBE | optimized geometry

abc: 4.6389 4.6389 22.0772
angles: 90.00 90.00 120.00
Element x y z (fractional)
Ca (0.0000, 0.0000, 0.0000)
Ca (0.3333, 0.6667, 0.6667)
Ca (0.6667, 0.3333, 0.3333)
Ce (0.0000, 0.0000, 0.5000)
Ce (0.3333, 0.6667, 0.1667)
Ce (0.6667, 0.3333, 0.8333)
Bi (0.0000, 0.0000, 0.2461)
Bi (0.0000, 0.0000, 0.7539)
Bi (0.3333, 0.6667, 0.4206)
Bi (0.3333, 0.6667, 0.9127)
Bi (0.6667, 0.3333, 0.0873)
Bi (0.6667, 0.3333, 0.5794)

Properties
SG: R-3m (166)

---

So which one wins? Going from most stable to least: z, w, x, y.

---

--- w ---
NaCaCeBiO6 | PBE | optimized geometry

abc: 5.9047 5.9047 8.6242
angles: 90.00 90.00 90.00
Element x y z (fractional)
Na (0.0000, 0.5000, 0.2500)
Na (0.5000, 0.0000, 0.7500)
Ca (0.0000, 0.5000, 0.7500)
Ca (0.5000, 0.0000, 0.2500)
Ce (0.0000, 0.0000, 0.0000)
Ce (0.5000, 0.5000, 0.5000)
Bi (0.0000, 0.0000, 0.5000)
Bi (0.5000, 0.5000, 0.0000)
O (0.0000, 0.0000, 0.2540)
O (0.0000, 0.0000, 0.7460)
O (0.1669, 0.3201, 0.5159)
O (0.1799, 0.3331, 0.9841)
O (0.3201, 0.8331, 0.4841)
O (0.3331, 0.8201, 0.0159)
O (0.5000, 0.5000, 0.2460)
O (0.5000, 0.5000, 0.7540)
O (0.6669, 0.1799, 0.0159)
O (0.6799, 0.1669, 0.4841)
O (0.8201, 0.6669, 0.9841)
O (0.8331, 0.6799, 0.5159)

Properties
SG: P-4n2 (118)

---

--- x ---
NaCaCeBiO6 | PBE | optimized geometry

abc: 6.0797 6.0797 6.0797
angles: 60.00 60.00 60.00
Element x y z (fractional)
Na (0.0000, 0.0000, 0.0000)
Ca (0.5000, 0.5000, 0.5000)
Ce (0.7500, 0.7500, 0.7500)
Bi (0.2500, 0.2500, 0.2500)
O (0.0049, 0.0049, 0.4951)
O (0.0049, 0.4951, 0.0049)
O (0.0049, 0.4951, 0.4951)
O (0.4951, 0.0049, 0.0049)
O (0.4951, 0.0049, 0.4951)
O (0.4951, 0.4951, 0.0049)

Properties
SG: F-43m (216)

---

So which one wins? Going from most stable to least: w, x.